No. 1
## LiPuSn (PBE)

Data for a relaxed structure of LiPuSn.

Properties
- Total magnetic moment: 1.933 μB/atom
- Total energy: -7.034 eV per atom
- DOS at the Fermi energy: 8.971 states/eV per cell
- Energy relative to the elements: -0.28 eV/atom

Cell: 4.917 4.917 3.362 Å, 90.00 90.00 120.00°
Fractional positions:
Li: 0.000 0.000 0.000
Pu: 0.667 0.333 0.500
Sn: 0.333 0.667 0.000

---

No. 2
## InPb3S (PBE)

Data for a relaxed structure of InPb3S.

Properties
- Total magnetic moment: 0.000 μB/atom
- ΔE_f (raw): 0.1337 eV per atom
- ΔE to the lowest computed polymorph: 0.0 meV per atom
- Total energy: -3.464 eV per atom
- DOS at the Fermi energy: 2.258 states/eV per cell

Cell: 5.544 5.544 5.544 Å, 90.00 90.00 90.00°
Fractional positions:
In: 0.000 0.000 0.000
Pb: 0.000 0.500 0.500
Pb: 0.500 0.000 0.500
Pb: 0.500 0.500 0.000
S: 0.500 0.500 0.500

---

No. 3
## NiSbP2 (PBE)

Data for a relaxed structure of NiSbP2.

Properties
- Total magnetic moment: 0.000 μB/atom
- ΔE_f (raw): 0.2150 eV per atom
- Total energy: -4.966 eV per atom
- DOS at the Fermi energy: 3.484 states/eV per cell

Cell: 4.460 4.460 4.460 Å, 109.33 109.33 109.75°
Fractional positions:
Ni: 0.000 0.000 0.000
Sb: 0.500 0.500 0.000
P: 0.000 0.500 0.500
P: 0.500 0.000 0.500

---

No. 4
## Ce2SbRu2 (PBE)

Data for a relaxed structure of Ce2SbRu2.

Properties
- Total magnetic moment: 0.000 μB/atom
- ΔE_f (raw): -0.3868 eV per atom
- ΔE to the lowest computed polymorph: 169.0 meV per atom
- Total energy: -7.295 eV per atom
- DOS at the Fermi energy: 4.595 states/eV per cell

Cell: 4.180 4.180 6.649 Å, 90.00 90.00 96.75°
Fractional positions:
Ce: 0.000 0.000 0.250
Ce: 0.000 0.000 0.750
Sb: 0.500 0.500 0.000
Ru: 0.300 0.700 0.500
Ru: 0.700 0.300 0.500

---

No. 5
## TaGaF3 (PBE)

Data for a relaxed structure of TaGaF3.

Properties
- Total magnetic moment: 0.000 μB/atom
- ΔE_f (raw): -0.4156 eV per atom
- ΔE to the lowest computed polymorph: 1115.5 meV per atom
- Total energy: -4.514 eV per atom
- DOS at the Fermi energy: 6.364 states/eV per cell

Cell: 4.194 4.194 4.194 Å, 90.00 90.00 90.00°
Fractional positions:
Ta: 0.000 0.000 0.000
Ga: 0.500 0.500 0.500
F: 0.000 0.500 0.500
F: 0.500 0.000 0.500
F: 0.500 0.500 0.000

---

No. 6
## CeTm2Zr (PBE)

Data for a relaxed structure of CeTm2Zr.

Properties
- Total magnetic moment: 0.230 μB/atom
- ΔE to the lowest computed polymorph: 6.3 meV per atom
- Total energy: -5.762 eV per atom
- DOS at the Fermi energy: 8.468 states/eV per cell
- Energy relative to the elements: 0.09 eV/atom

Cell: 11.381 11.381 11.381 Å, 17.08 17.08 17.08°
Fractional positions:
Ce: 0.000 0.000 0.000
Tm: 0.577 0.577 0.577
Tm: 0.754 0.754 0.754
Zr: 0.166 0.166 0.166